No. 1
A plane-wave DFT calculation with PBE was carried out for Dy8Y6Th after structural relaxation.

Cell lengths 8.6322, 8.6322, 8.6322 Å; angles 63.15, 63.15, 63.15 degrees
Fractional positions:
Dy  0.0768  0.0768  0.0768
Dy  0.2181  0.6121  0.2517
Dy  0.2517  0.2181  0.6121
Dy  0.3879  0.7483  0.7819
Dy  0.6121  0.2517  0.2181
Dy  0.7483  0.7819  0.3879
Dy  0.7819  0.3879  0.7483
Dy  0.9232  0.9232  0.9232
Y  0.0377  0.6029  0.7349
Y  0.2651  0.9623  0.3971
Y  0.3971  0.2651  0.9623
Y  0.6029  0.7349  0.0377
Y  0.7349  0.0377  0.6029
Y  0.9623  0.3971  0.2651
Th  0.5000  0.5000  0.5000

DOS at the Fermi energy in states/eV/f.u.: 24.2
Total moment in μB/cell: 0.00
Space group: No. 148
E in eV/atom: -5.42



No. 2
A plane-wave DFT calculation with PBE was carried out for DyY7Th3 after structural relaxation.

Cell lengths 7.1129, 7.1129, 8.5472 Å; angles 90.00, 90.00, 120.00 degrees
Fractional positions:
Dy  0.0000  0.0000  0.0000
Y  0.0021  0.5011  0.9971
Y  0.3309  0.1654  0.6571
Y  0.3333  0.6667  0.6540
Y  0.4989  0.5011  0.9971
Y  0.4989  0.9979  0.9971
Y  0.8346  0.1654  0.6571
Y  0.8346  0.6691  0.6571
Th  0.1666  0.3331  0.3265
Th  0.1666  0.8334  0.3265
Th  0.6669  0.8334  0.3265

DOS at the Fermi energy in states/eV/f.u.: 15.7
Total moment in μB/cell: 0.00
Space group: No. 156
E in eV/atom: -6.34



No. 3
A plane-wave DFT calculation with PBE was carried out for Dy4YTh after structural relaxation.

Cell lengths 7.8870, 7.8870, 7.1191 Å; angles 103.05, 103.05, 26.15 degrees
Fractional positions:
Dy  0.1634  0.1634  0.3364
Dy  0.1657  0.1657  0.8282
Dy  0.8343  0.8343  0.1718
Dy  0.8366  0.8366  0.6636
Y  0.5000  0.5000  0.0000
Th  0.5000  0.5000  0.5000

DOS at the Fermi energy in states/eV/f.u.: 7.4
Total moment in μB/cell: 0.00
Space group: No. 12
E in eV/atom: -5.37



No. 4
A plane-wave DFT calculation with PBE was carried out for Dy12Y5Th2 after structural relaxation.

Cell lengths 9.0891, 9.0891, 8.5901 Å; angles 92.02, 92.02, 61.65 degrees
Fractional positions:
Dy  0.0567  0.0567  0.3324
Dy  0.0631  0.6766  0.3289
Dy  0.1719  0.5300  0.7579
Dy  0.3234  0.9369  0.6711
Dy  0.4238  0.4238  0.1220
Dy  0.4700  0.8281  0.2421
Dy  0.5300  0.1719  0.7579
Dy  0.5762  0.5762  0.8780
Dy  0.6766  0.0631  0.3289
Dy  0.8281  0.4700  0.2421
Dy  0.9369  0.3234  0.6711
Dy  0.9433  0.9433  0.6676
Y  0.2032  0.2032  0.0257
Y  0.2669  0.2669  0.4294
Y  0.5000  0.5000  0.5000
Y  0.7331  0.7331  0.5706
Y  0.7968  0.7968  0.9743
Th  0.1726  0.8274  0.0000
Th  0.8274  0.1726  0.0000

DOS at the Fermi energy in states/eV/f.u.: 29.6
Total moment in μB/cell: 0.00
Space group: No. 12
E in eV/atom: -5.24



No. 5
A plane-wave DFT calculation with PBE was carried out for Dy4Y7Th after structural relaxation.

Cell lengths 6.2218, 7.1923, 8.8706 Å; angles 90.00, 76.40, 89.95 degrees
Fractional positions:
Dy  0.2226  0.0003  0.3381
Dy  0.2747  0.7492  0.6679
Dy  0.7253  0.2507  0.3321
Dy  0.7774  0.9997  0.6619
Y  0.0000  0.0000  0.0000
Y  0.2187  0.5001  0.3316
Y  0.2769  0.2505  0.6675
Y  0.5004  0.2540  0.0009
Y  0.4996  0.7460  0.9991
Y  0.7231  0.7495  0.3325
Y  0.7813  0.4999  0.6684
Th  0.0000  0.5000  0.0000

DOS at the Fermi energy in states/eV/f.u.: 18.6
Total moment in μB/cell: 0.00
Space group: No. 2
E in eV/atom: -5.92



No. 6
A plane-wave DFT calculation with PBE was carried out for Dy3Y7Th after structural relaxation.

Cell lengths 7.0781, 7.0781, 8.6543 Å; angles 90.00, 90.00, 120.00 degrees
Fractional positions:
Dy  0.0037  0.5019  0.0000
Dy  0.4981  0.5019  0.0000
Dy  0.4981  0.9963  0.0000
Y  0.1694  0.3387  0.3385
Y  0.1694  0.8306  0.3385
Y  0.3348  0.1674  0.6689
Y  0.6613  0.8306  0.3385
Y  0.6667  0.3333  0.3324
Y  0.8326  0.1674  0.6689
Y  0.8326  0.6652  0.6689
Th  0.3333  0.6667  0.6694

DOS at the Fermi energy in states/eV/f.u.: 18.1
Total moment in μB/cell: 0.00
Space group: No. 156
E in eV/atom: -5.85



No. 7
A plane-wave DFT calculation with PBE was carried out for DyY14Th after structural relaxation.

Cell lengths 7.1533, 7.1533, 10.0869 Å; angles 90.00, 90.00, 90.00 degrees
Fractional positions:
Dy  0.0000  0.0000  0.0000
Y  0.0000  0.0000  0.5000
Y  0.0000  0.5000  0.0000
Y  0.0000  0.5000  0.5000
Y  0.2519  0.2519  0.2478
Y  0.2519  0.2519  0.7522
Y  0.2519  0.7481  0.2478
Y  0.2519  0.7481  0.7522
Y  0.5000  0.0000  0.0000
Y  0.5000  0.0000  0.5000
Y  0.5000  0.5000  0.5000
Y  0.7481  0.2519  0.2478
Y  0.7481  0.2519  0.7522
Y  0.7481  0.7481  0.2478
Y  0.7481  0.7481  0.7522
Th  0.5000  0.5000  0.0000

DOS at the Fermi energy in states/eV/f.u.: 22.5
Total moment in μB/cell: 0.00
Space group: No. 123
E in eV/atom: -6.38



No. 8
A plane-wave DFT calculation with PBE was carried out for DyYTh2 after structural relaxation.

Cell lengths 5.0194, 5.0194, 5.1008 Å; angles 90.00, 90.00, 90.00 degrees
Fractional positions:
Dy  0.0000  0.0000  0.0000
Y  0.5000  0.5000  0.0000
Th  0.0000  0.5000  0.5000
Th  0.5000  0.0000  0.5000

DOS at the Fermi energy in states/eV/f.u.: 6.1
Total moment in μB/cell: 0.00
Space group: No. 123
E in eV/atom: -6.43



No. 9
A plane-wave DFT calculation with PBE was carried out for Dy2YTh3 after structural relaxation.

Cell lengths 8.9919, 8.9919, 9.8291 Å; angles 123.03, 123.03, 36.79 degrees
Fractional positions:
Dy  0.0012  0.0012  0.3356
Dy  0.2509  0.2509  0.5885
Dy  0.7491  0.7491  0.4115
Dy  0.9988  0.9988  0.6644
Y  0.3738  0.3738  0.3803
Y  0.6262  0.6262  0.6197
Th  0.1215  0.1215  0.1246
Th  0.2489  0.2489  0.9211
Th  0.4947  0.4947  0.1563
Th  0.5053  0.5053  0.8437
Th  0.7511  0.7511  0.0789
Th  0.8785  0.8785  0.8754

DOS at the Fermi energy in states/eV/f.u.: 10.0
Total moment in μB/cell: 0.00
Space group: No. 12
E in eV/atom: -6.22



No. 10
A plane-wave DFT calculation with PBE was carried out for Dy2Y2Th5 after structural relaxation.

Cell lengths 6.2083, 6.2083, 10.7364 Å; angles 107.04, 107.04, 47.62 degrees
Fractional positions:
Dy  0.1675  0.1675  0.3907
Dy  0.8325  0.8325  0.6093
Y  0.1664  0.1664  0.0556
Y  0.8336  0.8336  0.9444
Th  0.1643  0.1643  0.7215
Th  0.4990  0.4990  0.8296
Th  0.5000  0.5000  0.5000
Th  0.5010  0.5010  0.1704
Th  0.8357  0.8357  0.2785

DOS at the Fermi energy in states/eV/f.u.: 14.6
Total moment in μB/cell: 0.00
Space group: No. 12
E in eV/atom: -6.53



No. 11
A plane-wave DFT calculation with PBE was carried out for Dy2YTh3 after structural relaxation.

Cell lengths 7.6243, 7.6243, 6.7230 Å; angles 90.00, 90.00, 95.81 degrees
Fractional positions:
Dy  0.0631  0.6046  0.7500
Dy  0.3954  0.9369  0.7500
Dy  0.6046  0.0631  0.2500
Dy  0.9369  0.3954  0.2500
Y  0.2692  0.7308  0.2500
Y  0.7308  0.2692  0.7500
Th  0.0000  0.0000  0.0000
Th  0.0000  0.0000  0.5000
Th  0.3326  0.3326  0.0000
Th  0.3326  0.3326  0.5000
Th  0.6674  0.6674  0.0000
Th  0.6674  0.6674  0.5000

DOS at the Fermi energy in states/eV/f.u.: 7.5
Total moment in μB/cell: 0.00
Space group: No. 63
E in eV/atom: -6.14



No. 12
A plane-wave DFT calculation with PBE was carried out for Dy4YTh2 after structural relaxation.

Cell lengths 9.2575, 9.2575, 9.2575 Å; angles 145.18, 145.18, 50.07 degrees
Fractional positions:
Dy  0.0000  0.5000  0.5000
Dy  0.1822  0.1822  0.0000
Dy  0.5000  0.0000  0.5000
Dy  0.8178  0.8178  0.0000
Y  0.0000  0.0000  0.0000
Th  0.3869  0.3869  0.0000
Th  0.6131  0.6131  0.0000

DOS at the Fermi energy in states/eV/f.u.: 13.8
Total moment in μB/cell: 0.24
Space group: No. 139
E in eV/atom: -4.86



no.,ΔE_f (meV per atom)
1,119
2,213
3,17
4,147
5,6
6,195
7,24
8,51
9,104
10,55
11,184
12,818